Entry 1:
Below is SmTm3Pd12 after structural relaxation, with properties calculated at the GGA-PBE level.

Calculated values
Space group: No. 123
N(E_F): 0.79 states/eV per atom
Calculated total energy: -94.605 eV per cell
Size of the total moment: 0.00 μB per formula unit
Energy of formation from the pure elements: -0.885 eV/atom

Structure (POSCAR):
```
SmTm3Pd12
1.0
4.1105 0.0000 0.0000
0.0000 4.1105 0.0000
0.0000 0.0000 16.4924
Sm Tm Pd
1 3 12
Cartesian
0.0000 0.0000 0.0000
0.0000 0.0000 4.1742
0.0000 0.0000 8.2462
0.0000 0.0000 12.3182
0.0000 2.0553 2.1325
0.0000 2.0553 6.2046
0.0000 2.0553 10.2878
0.0000 2.0553 14.3599
2.0553 0.0000 2.1325
2.0553 0.0000 6.2046
2.0553 0.0000 10.2878
2.0553 0.0000 14.3599
2.0553 2.0553 0.0000
2.0553 2.0553 4.1615
2.0553 2.0553 8.2462
2.0553 2.0553 12.3309
```


Entry 2:
Below is Ba2ErCd12Ag3 after structural relaxation, with properties calculated at the GGA-PBE level.

Calculated values
Space group: No. 166
N(E_F): 0.53 states/eV per atom
Calculated total energy: -26.942 eV per cell
Size of the total moment: 0.00 μB per formula unit
Energy of formation from the pure elements: 0.056 eV/atom

Structure (POSCAR):
```
Ba2ErCd12Ag3
1.0
4.3478 2.5102 8.2983
-4.3478 2.5102 8.2983
0.0000 -5.0204 8.2983
Ba Er Cd Ag
2 1 12 3
Cartesian
0.0000 0.0000 2.3357
0.0000 0.0000 22.5591
0.0000 0.0000 12.4474
-2.7864 -1.6087 11.2335
0.0000 -1.7970 9.8908
-1.5562 0.8985 9.8908
0.0000 -3.2175 13.6614
-2.7864 1.6087 13.6614
-1.5562 -0.8985 15.0041
1.5562 0.8985 9.8908
2.7864 -1.6087 11.2335
0.0000 3.2175 11.2335
1.5562 -0.8985 15.0041
0.0000 1.7970 15.0041
2.7864 1.6087 13.6614
-2.1739 -1.2551 8.2983
-2.1739 1.2551 16.5966
0.0000 2.5102 8.2983
```


Entry 3:
Below is Cr2FeRe after structural relaxation, with properties calculated at the GGA-PBE level.

Calculated values
Space group: No. 47
N(E_F): 1.22 states/eV per atom
Energy relative to the lowest polymorph listed for this composition: 119 meV/atom
Calculated total energy: -39.374 eV per cell
Size of the total moment: 0.40 μB per formula unit
Energy of formation from the pure elements: 0.196 eV/atom

Structure (POSCAR):
```
Cr2FeRe
1.0
2.5940 0.0000 0.0000
0.0000 3.6405 0.0000
0.0000 0.0000 5.2485
Cr Fe Re
2 1 1
Cartesian
0.0000 0.0000 1.2178
0.0000 0.0000 4.0307
1.2970 1.8202 0.0000
1.2970 1.8202 2.6243
```


Entry 4:
Below is K3Tl4Pt after structural relaxation, with properties calculated at the GGA-PBE level.

Calculated values
Space group: No. 44
N(E_F): 0.48 states/eV per atom
Calculated total energy: -19.606 eV per cell
Size of the total moment: 0.00 μB per formula unit
Energy of formation from the pure elements: -0.101 eV/atom

Structure (POSCAR):
```
K3Tl4Pt
1.0
-3.3084 4.1431 5.3147
3.3084 -4.1431 5.3147
3.3084 4.1431 -5.3147
K Tl Pt
3 4 1
Cartesian
0.0000 0.0000 0.0000
3.3084 2.2999 1.3145
0.0000 1.8432 6.6292
1.5696 4.1431 -1.4734
1.7388 0.0000 3.8413
0.0000 2.5557 3.0798
0.0000 5.7305 3.0798
0.0000 4.1431 0.8357
```


Entry 5:
Below is TlZnOs2 after structural relaxation, with properties calculated at the GGA-PBE level.

Calculated values
Space group: No. 123
N(E_F): 1.27 states/eV per atom
Energy relative to the lowest polymorph listed for this composition: 585 meV/atom
Calculated total energy: -22.339 eV per cell
Size of the total moment: 1.32 μB per formula unit
Energy of formation from the pure elements: 0.940 eV/atom

Structure (POSCAR):
```
TlZnOs2
1.0
3.9804 0.0000 0.0000
0.0000 3.9804 0.0000
0.0000 0.0000 4.1358
Tl Zn Os
1 1 2
Cartesian
0.0000 0.0000 0.0000
1.9902 1.9902 0.0000
0.0000 1.9902 2.0679
1.9902 0.0000 2.0679
```


Entry 6:
Below is ZrScVCo after structural relaxation, with properties calculated at the GGA-PBE level.

Calculated values
Space group: No. 216
N(E_F): 0.66 states/eV per atom
Calculated total energy: -31.150 eV per cell
Size of the total moment: 3.17 μB per formula unit
Energy of formation from the pure elements: -0.012 eV/atom

Structure (POSCAR):
```
ZrScVCo
1.0
0.0000 3.2550 3.2550
3.2550 0.0000 3.2550
3.2550 3.2550 0.0000
Zr Sc V Co
1 1 1 1
Cartesian
0.0000 0.0000 0.0000
3.2550 3.2550 3.2550
1.6275 1.6275 1.6275
4.8826 4.8826 4.8826
```


Entry 7:
Below is MgUCr2S6 after structural relaxation, with properties calculated at the GGA-PBE level.

Calculated values
Space group: No. 146
N(E_F): 0.77 states/eV per atom
Calculated total energy: -66.623 eV per cell
Size of the total moment: 8.00 μB per formula unit
Formation energy from raw total energies: -0.97 eV per atom

Structure (POSCAR):
```
MgUCr2S6
1.0
3.1665 1.8282 5.7358
-3.1665 1.8282 5.7358
0.0000 -3.6564 5.7358
Mg U Cr S
1 1 2 6
Cartesian
0.0000 0.0000 0.0000
0.0000 0.0000 8.5636
0.0000 0.0000 5.2354
0.0000 0.0000 13.8629
-1.1201 -1.6281 6.8087
-2.3651 -0.0730 9.7175
-0.8500 1.7841 6.8087
1.2458 -2.0117 9.7175
1.9700 -0.1559 6.8087
1.1193 2.0848 9.7175
```


Entry 8:
Below is CaAsBr2F after structural relaxation, with properties calculated at the GGA-PBE level.

Calculated values
Space group: No. 123
N(E_F): 0.40 states/eV per atom
Energy relative to the lowest polymorph listed for this composition: 0 meV/atom
Calculated total energy: -16.152 eV per cell
Size of the total moment: 1.75 μB per formula unit
Formation energy from raw total energies: -0.86 eV per atom

Structure (POSCAR):
```
CaAsBr2F
1.0
5.6306 0.0000 0.0000
0.0000 5.6306 0.0000
0.0000 0.0000 4.0449
Ca As Br F
1 1 2 1
Cartesian
0.0000 0.0000 0.0000
2.8153 2.8153 0.0000
0.0000 2.8153 2.0225
2.8153 0.0000 2.0225
2.8153 2.8153 2.0225
```


Entry 9:
Below is Pm3SmY2Te6 after structural relaxation, with properties calculated at the GGA-PBE level.

Calculated values
Space group: No. 12
N(E_F): 0.54 states/eV per atom
Calculated total energy: -67.225 eV per cell
Size of the total moment: 0.00 μB per formula unit
Formation energy from raw total energies: -1.37 eV per atom

Structure (POSCAR):
```
Pm3SmY2Te6
1.0
9.6575 -2.2022 0.0000
9.6575 2.2022 0.0000
-2.0718 0.0000 8.6699
Pm Sm Y Te
3 1 2 6
Cartesian
0.0000 0.0000 0.0000
5.1108 0.0000 5.7800
12.1325 0.0000 2.8899
-1.0359 0.0000 4.3350
6.1130 0.0000 1.4606
11.1303 0.0000 7.2093
2.0165 0.0000 5.1138
3.1052 0.0000 0.6837
9.0860 0.0000 2.1647
8.1573 0.0000 6.5052
14.1380 0.0000 7.9862
15.2267 0.0000 3.5561
```


Entry 10:
Below is Mn2NbPOs after structural relaxation, with properties calculated at the GGA-PBE level.

Calculated values
Space group: No. 123
N(E_F): 1.20 states/eV per atom
Calculated total energy: -36.600 eV per cell
Size of the total moment: 4.46 μB per formula unit
Energy of formation from the pure elements: 1.690 eV/atom

Structure (POSCAR):
```
Mn2NbPOs
1.0
4.5401 0.0000 0.0000
0.0000 4.5401 0.0000
0.0000 0.0000 4.6099
Mn Nb P Os
2 1 1 1
Cartesian
0.0000 2.2701 0.0000
2.2701 0.0000 0.0000
0.0000 0.0000 0.0000
0.0000 0.0000 2.3050
2.2701 2.2701 2.3050
```


Entry 11:
Below is Ba2YCr after structural relaxation, with properties calculated at the GGA-PBE level.

Calculated values
Space group: No. 225
N(E_F): 2.79 states/eV per atom
Energy relative to the lowest polymorph listed for this composition: 794 meV/atom
Calculated total energy: -15.189 eV per cell
Size of the total moment: 0.00 μB per formula unit
Energy of formation from the pure elements: 1.186 eV/atom

Structure (POSCAR):
```
Ba2YCr
1.0
0.0000 4.0406 4.0406
4.0406 0.0000 4.0406
4.0406 4.0406 0.0000
Ba Y Cr
2 1 1
Cartesian
2.0203 2.0203 2.0203
6.0609 6.0609 6.0609
0.0000 0.0000 0.0000
4.0406 4.0406 4.0406
```


Entry 12:
Below is Sc8Si3Te4P after structural relaxation, with properties calculated at the GGA-PBE level.

Calculated values
Space group: No. 166
N(E_F): 0.23 states/eV per atom
Calculated total energy: -101.949 eV per cell
Size of the total moment: 0.00 μB per formula unit
Formation energy from raw total energies: -1.07 eV per atom

Structure (POSCAR):
```
Sc8Si3Te4P
1.0
3.9674 2.2906 6.6821
-3.9674 2.2906 6.6821
0.0000 -4.5812 6.6821
Sc Si Te P
8 3 4 1
Cartesian
0.0000 0.0000 4.7937
-1.9763 -1.1410 11.4435
0.0000 -2.2820 8.6028
-1.9763 1.1410 8.6028
1.9763 -1.1410 11.4435
0.0000 2.2820 11.4435
1.9763 1.1410 8.6028
0.0000 0.0000 15.2526
-3.9674 0.0000 10.0231
-1.9837 1.1453 3.3410
1.9837 1.1453 3.3410
0.0000 0.0000 0.0000
-1.9837 -1.1453 6.6821
-1.9837 1.1453 13.3642
0.0000 2.2906 6.6821
0.0000 0.0000 10.0231
```


- The highest calculated total energy belongs to which entry?
  Ba2YCr